A plane-wave DFT calculation with PBE-GGA was carried out for an optimized crystal structure of PuNpN2.

Cell: 3.4690 3.4690 6.1629 Å, 73.65 73.65 60.00°
Last column: nearest neighbours and their distance in Å.
Element x y z (fractional)
Pu 0.4972 0.4972 0.5085  6 N 2.52-2.61
Np 0.6673 0.6673 0.9981  6 N 2.39-2.40
N 0.0764 0.0764 0.7708  3 Np 2.40, 3 Pu 2.52
N 0.2591 0.2591 0.2226  3 Np 2.39, 3 Pu 2.61

Results
space group = R3m (160)
N(E_F) = 7.6 states/eV per cell
energy relative to the elements, uncorrected = -1.03 eV/atom

---

A plane-wave DFT calculation with PBE-GGA was carried out for an optimized crystal structure of BeAlHg.

Cell: 6.9361 6.5308 3.1409 Å, 83.83 69.41 26.76°
Last column: nearest neighbours and their distance in Å.
Element x y z (fractional)
Be 0.3367 0.3367 0.6633  2 Al 2.40, 2 Hg 2.50
Hg 0.6782 0.6782 0.3219  2 Be 2.50
Al 0.9851 0.9851 0.0149  2 Be 2.40

Results
energy relative to the lowest polymorph listed for this composition = 282 meV/atom
space group = Fmm2 (42)
energy of formation from the pure elements = 0.45 eV/atom
N(E_F) = 0.7 states/eV per cell

---

A plane-wave DFT calculation with PBE-GGA was carried out for an optimized crystal structure of InSnRh.

Cell: 3.2818 4.6582 4.6582 Å, 120.00 90.00 90.00°
Last column: nearest neighbours and their distance in Å.
Element x y z (fractional)
Rh 0.1649 0.6667 0.3333  3 Sn 2.69
Sn 0.1678 0.0000 0.0000  3 Rh 2.69
In 0.6673 0.3333 0.6667  6 Rh 3.15, 6 Sn 3.15, 2 In 3.28

Results
space group = P3m1 (156)
energy of formation from the pure elements = -0.02 eV/atom
N(E_F) = 2.1 states/eV per cell

---

A plane-wave DFT calculation with PBE-GGA was carried out for an optimized crystal structure of ZrHgBr3.

Cell: 6.5671 6.5671 11.0911 Å, 72.78 72.78 60.00°
Last column: nearest neighbours and their distance in Å.
Element x y z (fractional)
Zr 0.1667 0.1667 0.5000  6 Br 2.72
Zr 0.8333 0.8333 0.5000  6 Br 2.72
Hg 0.3342 0.3342 0.9973  3 Hg 3.79, 6 Br 4.19-4.22
Hg 0.6657 0.6657 0.0028  3 Hg 3.79, 6 Br 4.19-4.22
Br 0.1123 0.4480 0.6557  2 Zr 2.72
Br 0.7839 0.1123 0.6557  2 Zr 2.72
Br 0.5520 0.2161 0.3443  2 Zr 2.72
Br 0.2161 0.8877 0.3443  2 Zr 2.72
Br 0.8877 0.5520 0.3443  2 Zr 2.72
Br 0.4480 0.7839 0.6557  2 Zr 2.72

Results
energy relative to the lowest polymorph listed for this composition = 0 meV/atom
space group = R-3 (148)
N(E_F) = 5.5 states/eV per cell
energy relative to the elements, uncorrected = -1.01 eV/atom

---

A plane-wave DFT calculation with PBE-GGA was carried out for an optimized crystal structure of Mg4ZnRh.

Cell: 5.4277 5.4277 5.4277 Å, 60.00 60.00 60.00°
Last column: nearest neighbours and their distance in Å.
Element x y z (fractional)
Mg 0.8735 0.3755 0.3755  6 Mg 2.70-2.72
Mg 0.3755 0.3755 0.8735  6 Mg 2.70-2.72
Mg 0.3755 0.8735 0.3755  6 Mg 2.70-2.72
Mg 0.3755 0.3755 0.3755  6 Mg 2.70-2.72
Zn 0.0000 0.0000 0.0000  12 Mg 3.18, 4 Rh 3.32
Rh 0.7500 0.7500 0.7500  12 Mg 3.18, 4 Zn 3.32

Results
energy relative to the lowest polymorph listed for this composition = 449 meV/atom
space group = F-43m (216)
energy of formation from the pure elements = 0.19 eV/atom
N(E_F) = 2.8 states/eV per cell

---

A plane-wave DFT calculation with PBE-GGA was carried out for an optimized crystal structure of FeNi3I.

Cell: 4.4217 4.4217 4.4217 Å, 90.00 90.00 90.00°
Last column: nearest neighbours and their distance in Å.
Element x y z (fractional)
I 0.5000 0.5000 0.5000  12 Ni 3.13
Ni 0.0000 0.5000 0.0000  2 Fe 2.21
Ni 0.0000 0.0000 0.5000  2 Fe 2.21
Ni 0.5000 0.0000 0.0000  2 Fe 2.21
Fe 0.0000 0.0000 0.0000  6 Ni 2.21

Results
energy relative to the lowest polymorph listed for this composition = 0 meV/atom
space group = Pm-3m (221)
N(E_F) = 4.8 states/eV per cell
energy relative to the elements, uncorrected = 0.98 eV/atom

---

A plane-wave DFT calculation with PBE-GGA was carried out for an optimized crystal structure of Tl2Cd4In.

Cell: 5.4809 5.4809 8.8723 Å, 107.99 107.99 90.00°
Last column: nearest neighbours and their distance in Å.
Element x y z (fractional)
Tl 0.6234 0.6234 0.2468  5 Cd 3.03-3.38
Tl 0.3766 0.3766 0.7532  5 Cd 3.03-3.38
Cd 0.0000 0.5000 0.0000  2 In 2.74
Cd 0.5000 0.0000 0.0000  2 In 2.74
Cd 0.8130 0.8130 0.6260  1 In 2.99, 1 Tl 3.03
Cd 0.1870 0.1870 0.3740  1 In 2.99, 1 Tl 3.03
In 0.0000 0.0000 0.0000  6 Cd 2.74-2.99

Results
energy relative to the lowest polymorph listed for this composition = 220 meV/atom
space group = I4/mmm (139)
energy of formation from the pure elements = 0.26 eV/atom
N(E_F) = 3.0 states/eV per cell

---

A plane-wave DFT calculation with PBE-GGA was carried out for an optimized crystal structure of SrNb3Ru.

Cell: 4.7522 4.7522 4.7522 Å, 90.00 90.00 90.00°
Last column: nearest neighbours and their distance in Å.
Element x y z (fractional)
Ru 0.5000 0.5000 0.5000  12 Nb 3.36
Nb 0.0000 0.5000 0.0000  2 Sr 2.38
Nb 0.0000 0.0000 0.5000  2 Sr 2.38
Nb 0.5000 0.0000 0.0000  2 Sr 2.38
Sr 0.0000 0.0000 0.0000  6 Nb 2.38

Results
energy relative to the lowest polymorph listed for this composition = 1974 meV/atom
space group = Pm-3m (221)
energy of formation from the pure elements = 2.81 eV/atom
N(E_F) = 11.6 states/eV per cell